# 1
The following is a PBE-GGA calculation of an optimized crystal structure of NaLaTbIn, from Alexandria via LeMat-Bulk.

Space-group type: F-43m
Density in g cm⁻³: 6.0
Electronic total energy in eV/atom: -3.556
ΔH_f (0 K) in meV per atom: -152.6

abc: 5.542 5.542 5.542
angles: 60.00 60.00 60.00
Fractional positions:
Na  0.000  0.000  0.000
La  0.250  0.250  0.250
Tb  0.750  0.750  0.750
In  0.500  0.500  0.500

# 2
The following is a PBE-GGA calculation of an optimized crystal structure of NaLaIn2Tc, from Alexandria via LeMat-Bulk.

Space-group type: P4/mmm
Density in g cm⁻³: 3.9
Electronic total energy in eV/atom: -2.774
ΔH_f (0 K) in meV per atom: 1643.7

abc: 5.949 5.949 5.889
angles: 90.00 90.00 90.00
Fractional positions:
Na  0.000  0.000  0.000
La  0.000  0.000  0.500
In  0.000  0.500  0.500
In  0.500  0.000  0.500
Tc  0.500  0.500  0.000

# 3
The following is a PBE-GGA calculation of an optimized crystal structure of NaLa2InTc, from Alexandria via LeMat-Bulk.

Space-group type: P4/mmm
Density in g cm⁻³: 5.3
Electronic total energy in eV/atom: -4.910
ΔH_f (0 K) in meV per atom: -54.7

abc: 5.418 5.418 5.461
angles: 90.00 90.00 90.00
Fractional positions:
Na  0.000  0.000  0.000
La  0.000  0.500  0.500
La  0.500  0.000  0.500
In  0.500  0.500  0.000
Tc  0.500  0.500  0.500

# 4
The following is a PBE-GGA calculation of an optimized crystal structure of Na2LaInW, from Alexandria via LeMat-Bulk.

Space-group type: P4/mmm
Density in g cm⁻³: 4.7
Electronic total energy in eV/atom: -2.322
ΔH_f (0 K) in meV per atom: 2329.4

abc: 5.488 5.488 5.728
angles: 90.00 90.00 90.00
Fractional positions:
Na  0.000  0.500  0.000
Na  0.500  0.000  0.000
La  0.000  0.000  0.000
In  0.000  0.000  0.500
W  0.500  0.500  0.500